Entry from Alexandria via LeMat-Bulk: crystalline La2AlH2 at its relaxed geometry (GGA-PBEsol).

Cell lengths 3.9502, 3.9502, 12.3819 Å; angles 90.00, 90.00, 90.00 degrees
Space group I4/mmm (No. 139)
Unique sites:
La: 0.0000 0.0000 0.1446 (multiplicity 4)
Al: 0.0000 0.0000 0.5000 (multiplicity 2)
H: 0.0000 0.5000 0.2500 (multiplicity 4)

Values from the calculation:
The total energy comes out at -47.83 eV for the cell shown.



Entry from Alexandria via LeMat-Bulk: crystalline La2AlNi9H2 at its relaxed geometry (GGA-PBEsol).

Cell lengths 4.9580, 4.9799, 8.0152 Å; angles 88.87, 89.13, 61.13 degrees
Space group P1 (No. 1)
Unique sites:
La: 0.0000 0.0000 0.0000 (multiplicity 1)
La: 0.0198 0.0099 0.5258 (multiplicity 1)
Al: 0.5149 0.5088 0.2715 (multiplicity 1)
Ni: 0.0044 0.5090 0.7703 (multiplicity 1)
Ni: 0.0059 0.5257 0.2738 (multiplicity 1)
Ni: 0.3348 0.3477 0.0197 (multiplicity 1)
Ni: 0.3390 0.3492 0.5216 (multiplicity 1)
Ni: 0.4975 0.5241 0.7696 (multiplicity 1)
Ni: 0.4989 0.0006 0.7701 (multiplicity 1)
Ni: 0.5289 0.0024 0.2737 (multiplicity 1)
Ni: 0.6739 0.6679 0.0201 (multiplicity 1)
Ni: 0.6858 0.6759 0.5208 (multiplicity 1)
H: 0.2116 0.2102 0.1787 (multiplicity 1)
H: 0.6933 0.1692 0.7570 (multiplicity 1)

Values from the calculation:
The total energy comes out at -81.59 eV for the cell shown.